# 1
VASP calculation (PBE-GGA) on a relaxed Pm3Nd4Cu4 crystal.

a b c (Å): 4.9539 7.5259 9.0052
angles (deg): 114.70 105.97 90.00
With the nearest neighbours (Å) after each atom.
Fractional coordinates of all 11 atoms:
Pm 0.1010 0.1010 0.2021  1 Pm 3.15, 4 Cu 3.18, 4 Nd 3.43
Pm 0.8990 0.8990 0.7979  1 Pm 3.15, 4 Cu 3.18, 4 Nd 3.43
Pm 0.0000 0.5000 0.0000  2 Cu 3.11
Nd 0.3294 0.1088 0.6589  4 Cu 2.80-3.02
Nd 0.6706 0.4499 0.3411  4 Cu 2.80-3.02
Nd 0.6706 0.8912 0.3411  4 Cu 2.80-3.02
Nd 0.3294 0.5501 0.6589  4 Cu 2.80-3.02
Cu 0.1996 0.6996 0.3992  6 Nd 2.92-3.02, 1 Pm 3.11
Cu 0.8004 0.3004 0.6008  6 Nd 2.92-3.02, 1 Pm 3.11
Cu 0.5000 0.8363 0.0000  1 Cu 2.46
Cu 0.5000 0.1637 0.0000  1 Cu 2.46

Calculated values
Mass density: 7.2 g cm⁻³
E: -4.5573 eV/atom

# 2
VASP calculation (PBE-GGA) on a relaxed Pr2ErPu3Te6 crystal.

a b c (Å): 4.4269 8.9345 9.9677
angles (deg): 103.51 102.83 90.00
With the nearest neighbours (Å) after each atom.
Fractional coordinates of all 12 atoms:
Pr 0.8324 0.6629 0.6647  6 Te 3.18-3.22
Pr 0.1676 0.3371 0.3353  6 Te 3.18-3.22
Er 0.5000 0.0000 0.0000  6 Te 3.08-3.10
Pu 0.5000 0.5000 0.0000  6 Te 3.10-3.19
Pu 0.8302 0.1644 0.6604  6 Te 3.10-3.15
Pu 0.1698 0.8356 0.3396  6 Te 3.10-3.15
Te 0.3369 0.9226 0.6737  1 Er 3.08, 3 Pu 3.12-3.15, 2 Pr 3.19
Te 0.6642 0.5901 0.3284  3 Pu 3.10, 3 Pr 3.18
Te 0.6631 0.0774 0.3263  1 Er 3.08, 3 Pu 3.12-3.15, 2 Pr 3.19
Te 0.9972 0.2420 0.9945  2 Er 3.10, 3 Pu 3.15-3.19, 1 Pr 3.22
Te 0.0028 0.7580 0.0055  2 Er 3.10, 3 Pu 3.15-3.19, 1 Pr 3.22
Te 0.3358 0.4099 0.6716  3 Pu 3.10, 3 Pr 3.18

Calculated values
Mass density: 8.7 g cm⁻³
E: -7.5766 eV/atom
Formation energy from raw total energies: -1246 meV/atom

# 3
VASP calculation (PBE-GGA) on a relaxed Bi2OsRh crystal.

a b c (Å): 4.8429 4.8429 4.8429
angles (deg): 60.00 60.00 60.00
With the nearest neighbours (Å) after each atom.
Fractional coordinates of all 4 atoms:
Rh 0.0000 0.0000 0.0000  8 Bi 2.97
Os 0.5000 0.5000 0.5000  8 Bi 2.97
Bi 0.2500 0.2500 0.2500  4 Os 2.97, 4 Rh 2.97
Bi 0.7500 0.7500 0.7500  4 Os 2.97, 4 Rh 2.97

Calculated values
Mass density: 14.7 g cm⁻³
E: -6.0028 eV/atom

# 4
VASP calculation (PBE-GGA) on a relaxed BeTlRu crystal.

a b c (Å): 5.3032 5.3030 3.1165
angles (deg): 72.91 72.91 34.18
With the nearest neighbours (Å) after each atom.
Fractional coordinates of all 3 atoms:
Ru 0.3775 0.3775 0.6225  4 Be 2.31
Tl 0.6718 0.6718 0.3282  1 Be 2.69, 5 Ru 2.84-2.97
Be 0.9507 0.9507 0.0493  4 Ru 2.31

Calculated values
Mass density: 11.1 g cm⁻³
E: -4.9006 eV/atom

# 5
VASP calculation (PBE-GGA) on a relaxed Sm2Y6Tm3 crystal.

a b c (Å): 4.7189 4.7189 16.9961
angles (deg): 97.98 97.98 90.00
With the nearest neighbours (Å) after each atom.
Fractional coordinates of all 11 atoms:
Sm 0.4548 0.4548 0.9096  1 Sm 3.01
Sm 0.5452 0.5452 0.0904  1 Sm 3.01
Y 0.1215 0.6215 0.2431  6 Y 3.34-3.49, 2 Sm 3.47, 2 Tm 3.48
Y 0.6215 0.1215 0.2431  6 Y 3.34-3.49, 2 Sm 3.47, 2 Tm 3.48
Y 0.8785 0.3785 0.7569  6 Y 3.34-3.49, 2 Sm 3.47, 2 Tm 3.48
Y 0.3785 0.8785 0.7569  6 Y 3.34-3.49, 2 Sm 3.47, 2 Tm 3.48
Y 0.6989 0.6989 0.3977  5 Tm 3.34-3.42, 4 Y 3.49
Y 0.3011 0.3011 0.6023  5 Tm 3.34-3.42, 4 Y 3.49
Tm 0.0000 0.0000 0.0000  8 Sm 3.66
Tm 0.8015 0.8015 0.6031  9 Y 3.34-3.48
Tm 0.1985 0.1985 0.3969  9 Y 3.34-3.48

Calculated values
Mass density: 6.0 g cm⁻³
E: -5.3094 eV/atom

# 6
VASP calculation (PBE-GGA) on a relaxed Y2ScPaSb4 crystal.

a b c (Å): 4.3383 7.4771 7.5235
angles (deg): 109.41 90.00 90.00
With the nearest neighbours (Å) after each atom.
Fractional coordinates of all 8 atoms:
Y 0.5000 0.0000 0.5000  6 Sb 3.06-3.07
Y 0.0000 0.5000 0.5000  6 Sb 3.12-3.13
Sc 0.0000 0.0000 0.0000  6 Sb 3.00
Pa 0.5000 0.5000 0.0000  6 Sb 3.05-3.07
Sb 0.5000 0.2405 0.2392  2 Sc 3.00, 1 Pa 3.05, 3 Y 3.07-3.13
Sb 0.5000 0.7595 0.7608  2 Sc 3.00, 1 Pa 3.05, 3 Y 3.07-3.13
Sb 0.0000 0.2443 0.7546  1 Sc 3.00, 3 Y 3.06-3.12, 2 Pa 3.07
Sb 0.0000 0.7557 0.2454  1 Sc 3.00, 3 Y 3.06-3.12, 2 Pa 3.07

Calculated values
Mass density: 6.8 g cm⁻³
E: -6.5710 eV/atom
Formation energy from raw total energies: -915 meV/atom

# 7
VASP calculation (PBE-GGA) on a relaxed K2Tc3S6 crystal.

a b c (Å): 9.6851 9.6851 12.0119
angles (deg): 88.60 88.60 61.22
With the nearest neighbours (Å) after each atom.
Fractional coordinates of all 44 atoms:
K 0.6013 0.3987 0.7500  4 S 3.13-3.26
K 0.3987 0.6013 0.2500  4 S 3.13-3.26
K 0.2103 0.7897 0.7500  8 S 3.16-3.48
K 0.7897 0.2103 0.2500  8 S 3.16-3.48
K 0.1219 0.6419 0.0195  6 S 3.09-3.29
K 0.3581 0.8781 0.4805  6 S 3.09-3.29
K 0.8781 0.3581 0.9805  6 S 3.09-3.29
K 0.6419 0.1219 0.5195  6 S 3.09-3.29
Tc 0.0035 0.3096 0.5250  5 S 2.39-2.49, 4 Tc 2.62-2.63
Tc 0.6904 0.9965 0.9750  5 S 2.39-2.49, 4 Tc 2.62-2.63
Tc 0.9965 0.6904 0.4750  5 S 2.39-2.49, 4 Tc 2.62-2.63
Tc 0.3096 0.0035 0.0250  5 S 2.39-2.49, 4 Tc 2.62-2.63
Tc 0.1160 0.4684 0.6291  5 S 2.38-2.50, 4 Tc 2.62-2.65
Tc 0.5316 0.8840 0.8709  5 S 2.38-2.50, 4 Tc 2.62-2.65
Tc 0.8840 0.5316 0.3709  5 S 2.38-2.50, 4 Tc 2.62-2.65
Tc 0.4684 0.1160 0.1291  5 S 2.38-2.50, 4 Tc 2.62-2.65
Tc 0.8137 0.6012 0.5840  5 S 2.38-2.51, 4 Tc 2.62-2.65
Tc 0.3988 0.1863 0.9160  5 S 2.38-2.51, 4 Tc 2.62-2.65
Tc 0.1863 0.3988 0.4160  5 S 2.38-2.51, 4 Tc 2.62-2.65
Tc 0.6012 0.8137 0.0840  5 S 2.38-2.51, 4 Tc 2.62-2.65
S 0.0701 0.2605 0.3317  3 Tc 2.38-2.41
S 0.7395 0.9299 0.1683  3 Tc 2.38-2.41
S 0.9299 0.7395 0.6683  3 Tc 2.38-2.41
S 0.2605 0.0701 0.8317  3 Tc 2.38-2.41
S 0.7938 0.7208 0.9336  3 Tc 2.38-2.42
S 0.2792 0.2062 0.5664  3 Tc 2.38-2.42
S 0.2062 0.2792 0.0664  3 Tc 2.38-2.42
S 0.7208 0.7938 0.4336  3 Tc 2.38-2.42
S 0.0585 0.6136 0.2839  3 Tc 2.40-2.41
S 0.3864 0.9415 0.2161  3 Tc 2.40-2.41
S 0.9415 0.3864 0.7161  3 Tc 2.40-2.41
S 0.6136 0.0585 0.7839  3 Tc 2.40-2.41
S 0.2750 0.5548 0.5189  3 Tc 2.43-2.44
S 0.4452 0.7250 0.9811  3 Tc 2.43-2.44
S 0.7250 0.4452 0.4811  3 Tc 2.43-2.44
S 0.5548 0.2750 0.0189  3 Tc 2.43-2.44
S 0.0596 0.9995 0.0731  1 S 2.12
S 0.0005 0.9404 0.4269  1 S 2.12
S 0.9404 0.0005 0.9269  1 S 2.12
S 0.9995 0.0596 0.5731  1 S 2.12
S 0.2667 0.4364 0.8030  2 Tc 2.50-2.51
S 0.5636 0.7333 0.6970  2 Tc 2.50-2.51
S 0.7333 0.5636 0.1970  2 Tc 2.50-2.51
S 0.4364 0.2667 0.3030  2 Tc 2.50-2.51

Calculated values
Mass density: 3.8 g cm⁻³
E: -6.1217 eV/atom
Formation energy from raw total energies: -844 meV/atom

# 8
VASP calculation (PBE-GGA) on a relaxed ZrSc2TlPb crystal.

a b c (Å): 5.3812 5.6196 5.3812
angles (deg): 90.00 90.00 90.00
With the nearest neighbours (Å) after each atom.
Fractional coordinates of all 5 atoms:
Pb 0.0000 0.0000 0.0000  4 Sc 2.69, 2 Tl 2.81
Sc 0.0000 0.0000 0.5000  2 Pb 2.69
Sc 0.5000 0.0000 0.0000  2 Pb 2.69
Tl 0.0000 0.5000 0.0000  2 Pb 2.81
Zr 0.5000 0.5000 0.5000  4 Tl 3.81, 8 Sc 3.89

Calculated values
Mass density: 6.0 g cm⁻³
E: -4.5717 eV/atom

# 9
VASP calculation (PBE-GGA) on a relaxed LaPtSN2 crystal.

a b c (Å): 4.0931 4.0931 4.7814
angles (deg): 90.00 90.00 90.00
With the nearest neighbours (Å) after each atom.
Fractional coordinates of all 5 atoms:
S 0.0000 0.0000 0.5000  2 Pt 2.39
N 0.0000 0.5000 0.0000  2 Pt 2.05
N 0.5000 0.0000 0.0000  2 Pt 2.05
Pt 0.0000 0.0000 0.0000  4 N 2.05
La 0.5000 0.5000 0.5000  4 S 2.89, 8 N 3.15

Calculated values
Mass density: 8.2 g cm⁻³
E: -6.2806 eV/atom
Formation energy from raw total energies: 69 meV/atom

# 10
VASP calculation (PBE-GGA) on a relaxed NaMgHgAu crystal.

a b c (Å): 3.4441 3.4441 7.3666
angles (deg): 90.00 90.00 90.00
With the nearest neighbours (Å) after each atom.
Fractional coordinates of all 4 atoms:
Na 0.0000 0.0000 0.0863  4 Au 3.16, 4 Hg 3.24, 1 Mg 3.37, 4 Na 3.44
Mg 0.0000 0.0000 0.5432  4 Au 2.78, 4 Hg 3.06
Hg 0.5000 0.5000 0.7952  4 Mg 3.06, 1 Au 3.21, 4 Na 3.24
Au 0.5000 0.5000 0.3600  4 Mg 2.78

Calculated values
Mass density: 8.5 g cm⁻³
E: -1.9785 eV/atom

# 11
VASP calculation (PBE-GGA) on a relaxed La3Zn7Cu4 crystal.

a b c (Å): 4.4134 8.2216 8.4132
angles (deg): 65.25 74.79 74.43
With the nearest neighbours (Å) after each atom.
Fractional coordinates of all 14 atoms:
La 0.2986 0.2004 0.2024  5 Cu 3.06-3.30, 8 Zn 3.08-3.26
La 0.7014 0.7996 0.7976  5 Cu 3.06-3.30, 8 Zn 3.08-3.26
La 0.0000 0.5000 0.5000  6 Cu 3.04-3.34, 6 Zn 3.17-3.37
Zn 0.3336 0.8147 0.5181  4 Cu 2.58-2.79, 1 Zn 2.65
Zn 0.4990 0.1991 0.8029  3 Cu 2.55-2.79, 3 Zn 2.65-2.83
Zn 0.8609 0.3570 0.9212  3 Cu 2.57-2.77, 3 Zn 2.65-2.87
Zn 0.6664 0.1853 0.4819  4 Cu 2.58-2.79, 1 Zn 2.65
Zn 0.1391 0.6430 0.0788  3 Cu 2.57-2.77, 3 Zn 2.65-2.87
Zn 0.0000 0.0000 0.0000  2 Cu 2.58, 6 Zn 2.65-2.83
Zn 0.5010 0.8009 0.1971  3 Cu 2.55-2.79, 3 Zn 2.65-2.83
Cu 0.6613 0.4777 0.1997  5 Zn 2.55-2.77
Cu 0.3387 0.5223 0.8003  5 Zn 2.55-2.77
Cu 0.8731 0.9140 0.3398  6 Zn 2.58-2.79
Cu 0.1269 0.0860 0.6602  6 Zn 2.58-2.79

Calculated values
Mass density: 7.1 g cm⁻³
E: -3.1406 eV/atom

# 12
VASP calculation (PBE-GGA) on a relaxed EuDy2Lu crystal.

a b c (Å): 3.7897 5.8651 5.8651
angles (deg): 90.00 90.00 90.00
With the nearest neighbours (Å) after each atom.
Fractional coordinates of all 4 atoms:
Eu 0.5000 0.5000 0.5000  8 Dy 3.49, 2 Eu 3.79
Lu 0.5000 0.0000 0.0000  8 Dy 3.49, 2 Lu 3.79
Dy 0.0000 0.0000 0.5000  4 Eu 3.49, 4 Lu 3.49, 2 Dy 3.79
Dy 0.0000 0.5000 0.0000  4 Eu 3.49, 4 Lu 3.49, 2 Dy 3.79

Calculated values
Mass density: 8.3 g cm⁻³
E: -5.8382 eV/atom